1.
Crystalline TiBi2Se5 at its relaxed geometry, computed with GGA-PBE.

Values from the calculation:
As for the energy relative to the elements, uncorrected: -398.7 kJ/mol of formula units. The value obtained for the size of the total moment is 0.00 Bohr magnetons per cell.

POSCAR file:
```
TiBi2Se5
1.0
2.769 -7.012 0.000
2.769 7.012 0.000
0.000 0.000 13.134
Ti Bi Se
2 4 10
Direct
0.186 0.814 0.750
0.814 0.186 0.250
0.148 0.852 0.066
0.148 0.852 0.434
0.852 0.148 0.566
0.852 0.148 0.934
0.054 0.946 0.625
0.054 0.946 0.875
0.277 0.723 0.250
0.301 0.699 0.594
0.301 0.699 0.906
0.699 0.301 0.094
0.699 0.301 0.406
0.723 0.277 0.750
0.946 0.054 0.125
0.946 0.054 0.375
```

---

2.
Crystalline Sr2YMo at its relaxed geometry, computed with GGA-PBE.

Values from the calculation:
The density of states at the Fermi level is 5.02 states/eV per cell. The value obtained for the size of the total moment is 2.01 Bohr magnetons per cell. Its total DFT energy (no corrections) is -4.26 eV/atom.

POSCAR file:
```
Sr2YMo
1.0
3.712 0.000 0.000
0.000 5.335 0.000
-1.447 0.000 6.560
Sr Y Mo
2 1 1
Direct
0.085 0.000 0.273
0.915 0.000 0.727
0.500 0.500 0.000
0.500 0.500 0.500
```

---

3.
Crystalline ScZn3Co at its relaxed geometry, computed with GGA-PBE.

Values from the calculation:
The density of states at the Fermi level is 5.11 states/eV per cell. The value obtained for the size of the total moment is 1.95 Bohr magnetons per cell. Its total DFT energy (no corrections) is -2.11 eV/atom.

POSCAR file:
```
ScZn3Co
1.0
5.137 0.000 0.000
0.000 5.137 0.000
0.000 0.000 5.137
Sc Zn Co
1 3 1
Direct
0.000 0.000 0.000
0.000 0.000 0.500
0.000 0.500 0.000
0.500 0.000 0.000
0.500 0.500 0.500
```